Rb2ScAsCl, PBEsol geometry, DFT SCAN; E_tot = -17.157 eV/atom; SG = P4/mmm, No. 123; volume = 167.8 Å³/f.u.; N(E_F) = 2.9 states/eV/cell; energy relative to the elements, uncorrected = -0.380 eV per atom; crystal system = tetragonal; ΔE to the lowest computed polymorph = 369 meV/atom
1.0
-0.5100 -4.4576 -2.2602
4.1775 -2.1763 3.3495
-3.9511 -1.5394 3.9276
Cl Rb As Sc
1 2 1 1
direct
0.0000 0.0000 0.0000
0.0000 0.5000 0.0000
0.0000 0.0000 0.5000
0.5000 0.5000 0.5000
0.5000 0.0000 0.0000